# KBaInSn (PBE-GGA, relaxed)
# Volume, Å³/cell: 595.6
# Total DFT energy (no corrections), eV per atom: -2.700
# Energy of formation, eV/atom: -0.259
data_KBaInSn
_chemical_formula_sum 'K4 Ba4 In4 Sn4'
_space_group_name_H-M_alt 'F -4 3 m'
_space_group_IT_number 216
_space_group_name_Hall 'F -4 2 3'
_cell_length_a 8.4135
_cell_length_b 8.4135
_cell_length_c 8.4135
_cell_angle_alpha 90.00
_cell_angle_beta 90.00
_cell_angle_gamma 90.00
loop_
_atom_site_label
_atom_site_fract_x
_atom_site_fract_y
_atom_site_fract_z
K1 0.0000 0.0000 0.0000
Ba1 0.0000 0.0000 0.5000
In1 0.2500 0.2500 0.2500
Sn1 0.2500 0.2500 0.7500


# KBaSrIn (PBE-GGA, relaxed)
# Volume, Å³/cell: 685.4
# Total DFT energy (no corrections), eV per atom: -1.978
# Energy of formation, eV/atom: -0.118
data_KBaSrIn
_chemical_formula_sum 'K4 Ba4 Sr4 In4'
_space_group_name_H-M_alt 'F -4 3 m'
_space_group_IT_number 216
_space_group_name_Hall 'F -4 2 3'
_cell_length_a 8.8167
_cell_length_b 8.8167
_cell_length_c 8.8167
_cell_angle_alpha 90.00
_cell_angle_beta 90.00
_cell_angle_gamma 90.00
loop_
_atom_site_label
_atom_site_fract_x
_atom_site_fract_y
_atom_site_fract_z
K1 0.0000 0.0000 0.0000
Ba1 0.2500 0.2500 0.7500
Sr1 0.2500 0.2500 0.2500
In1 0.0000 0.0000 0.5000